No. 1
Tb3NdBi4 | PBE-GGA | optimized geometry

The density of states at the Fermi level is 0.449 states/eV per cell. The energy relative to the lowest polymorph listed for this composition is 0.0 meV/atom. The calculation puts the volume at 32.7 A^3/atom. The total magnetic moment comes out at 0.0 μB/f.u. Its raw total energy is -5.169 eV per atom.

```
Tb3NdBi4
1.0
6.3930 0.0000 0.0000
0.0000 6.3930 0.0000
0.0000 0.0000 6.3930
Bi Tb Nd
4 3 1
direct
0.0000 0.5000 0.0000 Bi
0.0000 0.0000 0.5000 Bi
0.5000 0.0000 0.0000 Bi
0.5000 0.5000 0.5000 Bi
0.5000 0.5000 0.0000 Tb
0.5000 0.0000 0.5000 Tb
0.0000 0.5000 0.5000 Tb
0.0000 0.0000 0.0000 Nd
```

***

No. 2
BaAgSe | PBE-GGA | optimized geometry

The density of states at the Fermi level is 0.614 states/eV per cell. As for the uncorrected formation energy: -1.012 eV/atom. The energy relative to the lowest polymorph listed for this composition is 60.1 meV/atom. The calculation puts the volume at 31.0 A^3/atom. The total magnetic moment comes out at 0.0 μB/f.u. Its raw total energy is -3.765 eV per atom.

```
BaAgSe
1.0
-3.9674 0.4619 -1.1271
-0.4981 -4.2658 0.0054
-2.5488 2.4689 10.0538
Ba Ag Se
2 2 2
direct
0.5705 0.7066 0.4924 Ba
0.5720 0.4003 0.8785 Ba
0.5678 0.0460 0.1760 Ag
0.0677 0.5464 0.1752 Ag
0.0700 0.1467 0.3723 Se
0.0715 0.8348 0.7470 Se
```